Here is a relaxed structure of SrHf3C from Alexandria. Energies are from PBE-GGA.

Unit cell a=4.728 b=4.728 c=4.728 alpha=90.00 beta=90.00 gamma=90.00
Space group Pm-3m (No. 221)
One atom of each set of equivalent atoms:
Sr: 0.000 0.000 0.000 (multiplicity 1)
Hf: 0.000 0.500 0.500 (multiplicity 3)
C: 0.500 0.500 0.500 (multiplicity 1)

Calculated values
**Calculated volume**: 105.71 Å³ per cell
**Energy of formation from the pure elements**: 0.242 eV per atom
**Excess energy over the best structure of this formula in the dataset**: 0.000 eV per atom
**VASP energy**: -7.91 eV/atom